# 1
# PBE Sn2BPt, relaxed
data_Sn2BPt
_chemical_formula_sum 'Sn8 B4 Pt4'
_cell_length_a 5.882
_cell_length_b 5.882
_cell_length_c 10.348
_cell_angle_alpha 90.00
_cell_angle_beta 90.00
_cell_angle_gamma 90.00
_space_group_name_H-M_alt 'I -4 2 d'
_space_group_IT_number 122
_space_group_name_Hall 'I -4 2bw'
loop_
_atom_site_label
_atom_site_type_symbol
_atom_site_fract_x
_atom_site_fract_y
_atom_site_fract_z
_atom_site_occupancy
Sn1 Sn 0.197 0.250 0.125 1
B1 B 0.000 0.000 0.000 1
Pt1 Pt 0.000 0.000 0.500 1
# Crystal system ... tetragonal
# Formation energy ... 1.2 eV per formula unit

---

# 2
# PBE NdY2P3, relaxed
data_NdY2P3
_chemical_formula_sum 'Nd2 Y4 P6'
_cell_length_a 4.068
_cell_length_b 5.757
_cell_length_c 12.192
_cell_angle_alpha 90.00
_cell_angle_beta 90.00
_cell_angle_gamma 90.00
_space_group_name_H-M_alt 'I m m m'
_space_group_IT_number 71
_space_group_name_Hall '-I 2 2'
loop_
_atom_site_label
_atom_site_type_symbol
_atom_site_fract_x
_atom_site_fract_y
_atom_site_fract_z
_atom_site_occupancy
Nd1 Nd 0.000 0.000 0.000 1
Y1 Y 0.000 0.000 0.334 1
P1 P 0.000 0.500 0.000 1
P2 P 0.000 0.500 0.329 1
# Crystal system ... orthorhombic
# Formation energy ... -9.5 eV per formula unit

---

# 3
# PBE LiIn4Pb, relaxed
data_LiIn4Pb
_chemical_formula_sum 'Li1 In4 Pb1'
_cell_length_a 3.528
_cell_length_b 4.193
_cell_length_c 10.453
_cell_angle_alpha 90.00
_cell_angle_beta 90.00
_cell_angle_gamma 90.00
_space_group_name_H-M_alt 'P m m m'
_space_group_IT_number 47
loop_
_space_group_symop_operation_xyz
'x,y,z'
'-x,-y,-z'
'-x,-y,z'
'x,y,-z'
'x,-y,-z'
'-x,y,z'
'-x,y,-z'
'x,-y,z'
loop_
_atom_site_label
_atom_site_type_symbol
_atom_site_fract_x
_atom_site_fract_y
_atom_site_fract_z
_atom_site_occupancy
Li1 Li 0.000 0.000 0.000 1
In1 In 0.000 0.000 0.307 1
In2 In 0.500 0.500 0.147 1
Pb1 Pb 0.500 0.500 0.500 1
# Crystal system ... orthorhombic
# Energy relative to the lowest polymorph listed for this composition ... 0.00 kcal/mol of atoms
# Formation energy ... -0.4 eV per formula unit

---

# 4
# PBE Zr2ScAu, relaxed
data_Zr2ScAu
_chemical_formula_sum 'Zr2 Sc1 Au1'
_cell_length_a 4.295
_cell_length_b 4.295
_cell_length_c 4.566
_cell_angle_alpha 90.00
_cell_angle_beta 90.00
_cell_angle_gamma 90.00
_space_group_name_H-M_alt 'P 4/m m m'
_space_group_IT_number 123
_space_group_name_Hall '-P 4 2'
loop_
_atom_site_label
_atom_site_type_symbol
_atom_site_fract_x
_atom_site_fract_y
_atom_site_fract_z
_atom_site_occupancy
Zr1 Zr 0.000 0.500 0.000 1
Sc1 Sc 0.000 0.000 0.500 1
Au1 Au 0.500 0.500 0.500 1
# Crystal system ... tetragonal
# Formation energy ... -1.1 eV per formula unit

---

# 5
# PBE YTc2P, relaxed
data_YTc2P
_chemical_formula_sum 'Y3 Tc6 P3'
_cell_length_a 4.1433
_cell_length_b 4.1433
_cell_length_c 15.3408
_cell_angle_alpha 90.00
_cell_angle_beta 90.00
_cell_angle_gamma 120.00
_space_group_name_H-M_alt 'R 3 m'
_space_group_IT_number 160
_space_group_name_Hall 'R 3 -2"'
loop_
_atom_site_label
_atom_site_type_symbol
_atom_site_fract_x
_atom_site_fract_y
_atom_site_fract_z
_atom_site_occupancy
Y1 Y 0.0000 0.0000 0.0000 1
Tc1 Tc 0.0000 0.0000 0.4996 1
Tc2 Tc 0.0000 0.0000 0.8037 1
P1 P 0.0000 0.0000 0.2179 1
# Crystal system ... trigonal
# Formation energy ... -1.8 eV per formula unit

---

# 6
# PBE LiTbSbIr, relaxed
data_LiTbSbIr
_chemical_formula_sum 'Li4 Tb4 Sb4 Ir4'
_cell_length_a 6.675
_cell_length_b 6.675
_cell_length_c 6.675
_cell_angle_alpha 90.00
_cell_angle_beta 90.00
_cell_angle_gamma 90.00
_space_group_name_H-M_alt 'F -4 3 m'
_space_group_IT_number 216
_space_group_name_Hall 'F -4 2 3'
loop_
_atom_site_label
_atom_site_type_symbol
_atom_site_fract_x
_atom_site_fract_y
_atom_site_fract_z
_atom_site_occupancy
Li1 Li 0.000 0.000 0.000 1
Tb1 Tb 0.250 0.250 0.750 1
Sb1 Sb 0.250 0.250 0.250 1
Ir1 Ir 0.000 0.000 0.500 1
# Formation energy (no corrections) ... -0.7452 eV/atom
# Crystal system ... cubic